Run A
B2Pd2Rh3 after structural relaxation, computed with PBE-GGA.

Cell lengths 3.1672, 5.0795, 6.3026 Å; angles 72.01, 75.71, 72.06 degrees
Last column: nearest neighbours and their distance in Å.
Element x y z (fractional)
B: 0.0981 0.1845 0.1188  5 Rh 2.06-2.19, 1 Pd 2.06
B: 0.9019 0.8155 0.8812  5 Rh 2.06-2.19, 1 Pd 2.06
Pd: 0.1152 0.6890 0.5829  1 B 2.06
Pd: 0.8848 0.3110 0.4171  1 B 2.06
Rh: 0.3048 0.0954 0.7970  3 B 2.06-2.12
Rh: 0.5000 0.5000 0.0000  4 B 2.19
Rh: 0.6952 0.9046 0.2030  3 B 2.06-2.12

Output
Its density of states at the Fermi level is 1.0792 states/eV/atom. The spin magnetization is 0.0 μB per cell. As for the symmetry: P-1 (2).

Run B
B2Pd2Rh3 after structural relaxation, computed with PBE-GGA.

Cell lengths 4.7879, 4.7879, 7.1024 Å; angles 109.75, 109.75, 34.81 degrees
Last column: nearest neighbours and their distance in Å.
Element x y z (fractional)
B: 0.1496 0.1496 0.2257  4 Rh 2.08-2.22, 2 Pd 2.20
B: 0.8504 0.8504 0.7743  4 Rh 2.08-2.22, 2 Pd 2.20
Pd: 0.1751 0.1751 0.7975  2 B 2.20
Pd: 0.8249 0.8249 0.2025  2 B 2.20
Rh: 0.3880 0.3880 0.5832  2 B 2.08
Rh: 0.5000 0.5000 0.0000  4 B 2.22
Rh: 0.6120 0.6120 0.4168  2 B 2.08

Output
Its density of states at the Fermi level is 1.0084 states/eV/atom. The spin magnetization is 0.0 μB per cell. As for the symmetry: C2/m (12).

The structure with the most favorable energy is run B; the runner-up is 2.1 kJ/mol of atoms above it.

Run A
B2PdRu2 after structural relaxation, computed with PBE-GGA.

Cell lengths 4.9334, 4.9334, 4.9334 Å; angles 134.20, 134.20, 66.78 degrees
Last column: nearest neighbours and their distance in Å.
Element x y z (fractional)
B: 0.2500 0.7500 0.5000  4 Ru 2.09
B: 0.7500 0.2500 0.5000  4 Ru 2.09
Pd: 0.0000 0.0000 0.0000  8 B 2.82, 10 Ru 2.89-2.98
Ru: 0.3503 0.3503 0.0000  4 B 2.09
Ru: 0.6497 0.6497 0.0000  4 B 2.09

Output
Its density of states at the Fermi level is 1.1052 states/eV/atom. The spin magnetization is 0.0 μB per cell. As for the symmetry: I4/mmm (139).

Run B
B2PdRu2 after structural relaxation, computed with PBE-GGA.

Cell lengths 6.1497, 6.1497, 2.8896 Å; angles 90.00, 90.00, 90.00 degrees
Last column: nearest neighbours and their distance in Å.
Element x y z (fractional)
B: 0.1268 0.3732 0.0000  1 B 2.21, 6 Ru 2.27-2.37, 2 Pd 2.42
B: 0.3732 0.8732 0.0000  1 B 2.21, 6 Ru 2.27-2.37, 2 Pd 2.42
B: 0.6268 0.1268 0.0000  1 B 2.21, 6 Ru 2.27-2.37, 2 Pd 2.42
B: 0.8732 0.6268 0.0000  1 B 2.21, 6 Ru 2.27-2.37, 2 Pd 2.42
Pd: 0.0000 0.0000 0.0000  4 B 2.42
Pd: 0.5000 0.5000 0.0000  4 B 2.42
Ru: 0.1567 0.6567 0.5000  6 B 2.27-2.37
Ru: 0.3433 0.1567 0.5000  6 B 2.27-2.37
Ru: 0.6567 0.8433 0.5000  6 B 2.27-2.37
Ru: 0.8433 0.3433 0.5000  6 B 2.27-2.37

Output
Its density of states at the Fermi level is 0.8671 states/eV/atom. The spin magnetization is 0.0 μB per cell. As for the symmetry: P4/mbm (127).

The structure with the most favorable energy is run B; the runner-up is 19.8 kJ/mol of atoms above it.

Run A
B2PdRu after structural relaxation, computed with PBE-GGA.

Cell lengths 3.8623, 3.8623, 3.8623 Å; angles 60.00, 60.00, 60.00 degrees
Last column: nearest neighbours and their distance in Å.
Element x y z (fractional)
B: 0.2500 0.2500 0.2500  4 Ru 2.37, 4 Pd 2.37
B: 0.7500 0.7500 0.7500  4 Ru 2.37, 4 Pd 2.37
Pd: 0.0000 0.0000 0.0000  8 B 2.37
Ru: 0.5000 0.5000 0.5000  8 B 2.37

Output
Its density of states at the Fermi level is 0.2910 states/eV/atom. The spin magnetization is 0.0 μB per cell. As for the symmetry: Fm-3m (225).

Run B
B2PdRu after structural relaxation, computed with PBE-GGA.

Cell lengths 5.7872, 5.7872, 5.7872 Å; angles 131.81, 131.81, 70.53 degrees
Last column: nearest neighbours and their distance in Å.
Element x y z (fractional)
B: 0.1083 0.6250 0.9833  2 Ru 2.00, 2 Pd 2.09
B: 0.3750 0.3583 0.4833  2 Ru 2.00, 2 Pd 2.09
B: 0.6417 0.1250 0.0167  2 Ru 2.00, 2 Pd 2.09
B: 0.8750 0.8917 0.5167  2 Ru 2.00, 2 Pd 2.09
Pd: 0.2500 0.7500 0.5000  4 B 2.09
Pd: 0.5000 0.5000 0.0000  4 B 2.09
Ru: 0.0000 0.0000 0.0000  4 B 2.00
Ru: 0.7500 0.2500 0.5000  4 B 2.00

Output
Its density of states at the Fermi level is 0.0005 states/eV/atom. The spin magnetization is 0.0 μB per cell. As for the symmetry: I-42d (122).

The structure with the most favorable energy is run A; the runner-up is 2.4 kJ/mol of atoms above it.

Run A
BPd2S after structural relaxation, computed with PBE-GGA.

Cell lengths 4.1955, 4.1955, 4.1955 Å; angles 60.00, 60.00, 60.00 degrees
Last column: nearest neighbours and their distance in Å.
Element x y z (fractional)
B: 0.0000 0.0000 0.0000  8 Pd 2.57
Pd: 0.2500 0.2500 0.2500  4 S 2.57, 4 B 2.57
Pd: 0.7500 0.7500 0.7500  4 S 2.57, 4 B 2.57
S: 0.5000 0.5000 0.5000  8 Pd 2.57

Output
Its density of states at the Fermi level is 0.7528 states/eV/atom. The spin magnetization is 0.0 μB per cell. As for the symmetry: Fm-3m (225).

Run B
BPd2S after structural relaxation, computed with PBE-GGA.

Cell lengths 6.5631, 6.5631, 6.5631 Å; angles 136.58, 136.58, 63.08 degrees
Last column: nearest neighbours and their distance in Å.
Element x y z (fractional)
B: 0.0000 0.0000 0.0000  4 Pd 2.07
B: 0.7500 0.2500 0.5000  4 Pd 2.07
Pd: 0.0638 0.6250 0.9388  2 B 2.07
Pd: 0.3750 0.3138 0.4388  2 B 2.07
Pd: 0.6862 0.1250 0.0612  2 B 2.07
Pd: 0.8750 0.9362 0.5612  2 B 2.07
S: 0.2500 0.7500 0.5000  4 Pd 2.39
S: 0.5000 0.5000 0.0000  4 Pd 2.39

Output
Its density of states at the Fermi level is 0.6825 states/eV/atom. The spin magnetization is 0.0 μB per cell. As for the symmetry: I-42d (122).

The structure with the most favorable energy is run B; the runner-up is 37.8 kJ/mol of atoms above it.

Run A
BPd3S after structural relaxation, computed with PBE-GGA.

Cell lengths 4.1930, 4.1930, 4.1930 Å; angles 90.00, 90.00, 90.00 degrees
Last column: nearest neighbours and their distance in Å.
Element x y z (fractional)
B: 0.0000 0.0000 0.0000  6 Pd 2.10
Pd: 0.0000 0.0000 0.5000  2 B 2.10
Pd: 0.0000 0.5000 0.0000  2 B 2.10
Pd: 0.5000 0.0000 0.0000  2 B 2.10
S: 0.5000 0.5000 0.5000  12 Pd 2.96

Output
Its density of states at the Fermi level is 0.6421 states/eV/atom. The spin magnetization is 0.0 μB per cell. As for the symmetry: Pm-3m (221).

Run B
BPd3S after structural relaxation, computed with PBE-GGA.

Cell lengths 3.9878, 3.9878, 8.7748 Å; angles 90.00, 90.00, 89.67 degrees
Last column: nearest neighbours and their distance in Å.
Element x y z (fractional)
B: 0.2143 0.7857 0.5000  1 S 1.85
B: 0.7857 0.2143 0.0000  1 S 1.85
Pd: 0.2178 0.2737 0.6087  2 B 2.17-2.25
Pd: 0.2737 0.2178 0.1087  2 B 2.17-2.25
Pd: 0.2921 0.7079 0.8735  1 S 2.46
Pd: 0.7079 0.2921 0.3735  1 S 2.46
Pd: 0.7263 0.7822 0.6087  2 B 2.17-2.25
Pd: 0.7822 0.7263 0.1087  2 B 2.17-2.25
S: 0.2878 0.7122 0.2940  1 B 1.85
S: 0.7122 0.2878 0.7940  1 B 1.85

Output
Its density of states at the Fermi level is 0.6672 states/eV/atom. The spin magnetization is 0.0 μB per cell. As for the symmetry: Cmc2_1 (36).

The structure with the most favorable energy is run B; the runner-up is 15.3 kJ/mol of atoms above it.

Run A
BSb3Pd after structural relaxation, computed with PBE-GGA.

Cell lengths 5.2221, 5.2221, 5.2221 Å; angles 90.00, 90.00, 90.00 degrees
Last column: nearest neighbours and their distance in Å.
Element x y z (fractional)
B: 0.0000 0.0000 0.0000  12 Sb 3.69
Sb: 0.0000 0.5000 0.5000  2 Pd 2.61
Sb: 0.5000 0.0000 0.5000  2 Pd 2.61
Sb: 0.5000 0.5000 0.0000  2 Pd 2.61
Pd: 0.5000 0.5000 0.5000  6 Sb 2.61

Output
Its density of states at the Fermi level is 1.1817 states/eV/atom. The spin magnetization is 0.0 μB per cell. As for the symmetry: Pm-3m (221).

Run B
BSb3Pd after structural relaxation, computed with PBE-GGA.

Cell lengths 4.7397, 4.7397, 4.7397 Å; angles 90.00, 90.00, 90.00 degrees
Last column: nearest neighbours and their distance in Å.
Element x y z (fractional)
B: 0.0000 0.0000 0.0000  6 Sb 2.37
Sb: 0.0000 0.0000 0.5000  2 B 2.37
Sb: 0.0000 0.5000 0.0000  2 B 2.37
Sb: 0.5000 0.0000 0.0000  2 B 2.37
Pd: 0.5000 0.5000 0.5000  12 Sb 3.35

Output
Its density of states at the Fermi level is 0.4974 states/eV/atom. The spin magnetization is 0.0 μB per cell. As for the symmetry: Pm-3m (221).

The structure with the most favorable energy is run B; the runner-up is 54.0 kJ/mol of atoms above it.